[1]
Compound: RbLiTmCl5
Source: Alexandria
Functional: PBE
Structure: optimized geometry

Density, g cm⁻³: 2.9
Density of states at the Fermi level, states/eV/atom: 0.0000
ΔE_f (raw), meV per atom: -2113

a = 7.533 Å, b = 7.533 Å, c = 9.992 Å
α = 103.82°, β = 103.82°, γ = 106.87°
Positions (direct):
Rb: 0.160 0.840 0.750
Rb: 0.840 0.160 0.250
Li: 0.190 0.810 0.250
Li: 0.810 0.190 0.750
Tm: 0.500 0.500 0.000
Tm: 0.500 0.500 0.500
Cl: 0.135 0.264 0.918
Cl: 0.205 0.601 0.399
Cl: 0.264 0.135 0.418
Cl: 0.399 0.795 0.101
Cl: 0.432 0.568 0.750
Cl: 0.568 0.432 0.250
Cl: 0.601 0.205 0.899
Cl: 0.736 0.865 0.582
Cl: 0.795 0.399 0.601
Cl: 0.865 0.736 0.082


[2]
Compound: HfAg2I
Source: Alexandria
Functional: PBE
Structure: optimized geometry

Density, g cm⁻³: 8.7
Polymorph energy (0 for the lowest one), meV/atom: 80
Density of states at the Fermi level, states/eV/atom: 0.5090
ΔE_f (raw), meV per atom: 12

a = 3.631 Å, b = 7.213 Å, c = 7.821 Å
α = 92.82°, β = 90.24°, γ = 104.57°
Positions (direct):
Hf: 0.000 0.000 0.000
Hf: 0.323 0.644 0.032
Ag: 0.151 0.308 0.644
Ag: 0.487 0.977 0.703
Ag: 0.662 0.324 0.912
Ag: 0.830 0.663 0.735
I: 0.157 0.307 0.273
I: 0.895 0.782 0.309


[3]
Compound: MnCr
Source: Alexandria
Functional: PBE
Structure: optimized geometry

Density, g cm⁻³: 7.3
DFT formation energy, eV per atom: 0.482
Density of states at the Fermi level, states/eV/atom: 1.3433

a = 6.632 Å, b = 6.632 Å, c = 3.814 Å
α = 90.00°, β = 90.00°, γ = 120.00°
Positions (direct):
Mn: 0.108 0.554 0.250
Mn: 0.446 0.554 0.250
Mn: 0.446 0.892 0.250
Mn: 0.554 0.108 0.750
Mn: 0.554 0.446 0.750
Mn: 0.892 0.446 0.750
Cr: 0.128 0.257 0.750
Cr: 0.128 0.872 0.750
Cr: 0.257 0.128 0.250
Cr: 0.743 0.872 0.750
Cr: 0.872 0.128 0.250
Cr: 0.872 0.743 0.250


[4]
Compound: NbTl2SnRh
Source: Alexandria
Functional: PBE
Structure: optimized geometry

Density, g cm⁻³: 9.0
DFT formation energy, eV per atom: 0.551
Density of states at the Fermi level, states/eV/atom: 0.9474

a = 5.193 Å, b = 5.193 Å, c = 4.945 Å
α = 90.00°, β = 90.00°, γ = 90.00°
Positions (direct):
Nb: 0.000 0.000 0.000
Tl: 0.000 0.500 0.500
Tl: 0.500 0.000 0.500
Sn: 0.500 0.500 0.000
Rh: 0.000 0.000 0.500


[5]
Compound: SmTm8In6
Source: Alexandria
Functional: PBE
Structure: optimized geometry

Density, g cm⁻³: 8.1
DFT formation energy, eV per atom: -0.188
Density of states at the Fermi level, states/eV/atom: 1.2742

a = 8.261 Å, b = 8.261 Å, c = 8.261 Å
α = 65.72°, β = 65.72°, γ = 65.72°
Positions (direct):
Sm: 0.000 0.000 0.000
Tm: 0.113 0.446 0.779
Tm: 0.221 0.887 0.554
Tm: 0.333 0.333 0.333
Tm: 0.446 0.779 0.113
Tm: 0.554 0.221 0.887
Tm: 0.667 0.667 0.667
Tm: 0.779 0.113 0.446
Tm: 0.887 0.554 0.221
In: 0.061 0.723 0.399
In: 0.277 0.601 0.939
In: 0.399 0.061 0.723
In: 0.601 0.939 0.277
In: 0.723 0.399 0.061
In: 0.939 0.277 0.601


[6]
Compound: PuTiRu2
Source: Alexandria
Functional: PBE
Structure: optimized geometry

Density, g cm⁻³: 12.1
DFT formation energy, eV per atom: -0.288
Density of states at the Fermi level, states/eV/atom: 1.7531

a = 4.572 Å, b = 4.572 Å, c = 3.251 Å
α = 90.00°, β = 90.00°, γ = 90.00°
Positions (direct):
Pu: 0.000 0.000 0.000
Ti: 0.500 0.500 0.000
Ru: 0.000 0.500 0.500
Ru: 0.500 0.000 0.500


[7]
Compound: Mg3VSb
Source: Alexandria
Functional: PBE
Structure: optimized geometry

Density, g cm⁻³: 2.9
Polymorph energy (0 for the lowest one), meV/atom: 0
Density of states at the Fermi level, states/eV/atom: 0.7065
ΔE_f (raw), meV per atom: 841

a = 5.181 Å, b = 5.181 Å, c = 5.181 Å
α = 90.00°, β = 90.00°, γ = 90.00°
Positions (direct):
Mg: 0.000 0.000 0.500
Mg: 0.000 0.500 0.000
Mg: 0.500 0.000 0.000
V: 0.000 0.000 0.000
Sb: 0.500 0.500 0.500


[8]
Compound: BaTcPt2
Source: Alexandria
Functional: PBE
Structure: optimized geometry

Density, g cm⁻³: 10.4
DFT formation energy, eV per atom: -0.207
Polymorph energy (0 for the lowest one), meV/atom: 0
Density of states at the Fermi level, states/eV/atom: 1.1618

a = 6.292 Å, b = 6.292 Å, c = 6.292 Å
α = 41.82°, β = 41.82°, γ = 41.82°
Positions (direct):
Ba: 0.000 0.000 0.000
Tc: 0.500 0.500 0.500
Pt: 0.192 0.192 0.192
Pt: 0.808 0.808 0.808


[9]
Compound: SrZrRh2
Source: Alexandria
Functional: PBE
Structure: optimized geometry

Density, g cm⁻³: 8.0
DFT formation energy, eV per atom: -0.297
Density of states at the Fermi level, states/eV/atom: 0.5545

a = 4.935 Å, b = 4.935 Å, c = 3.290 Å
α = 90.00°, β = 90.00°, γ = 90.00°
Positions (direct):
Sr: 0.000 0.000 0.000
Zr: 0.500 0.500 0.000
Rh: 0.000 0.500 0.500
Rh: 0.500 0.000 0.500


[10]
Compound: CaZrSb3
Source: Alexandria
Functional: PBE
Structure: optimized geometry

Density, g cm⁻³: 4.8
Polymorph energy (0 for the lowest one), meV/atom: 0
Density of states at the Fermi level, states/eV/atom: 0.5812
ΔE_f (raw), meV per atom: -189

a = 5.556 Å, b = 5.556 Å, c = 5.556 Å
α = 90.00°, β = 90.00°, γ = 90.00°
Positions (direct):
Ca: 0.000 0.000 0.000
Zr: 0.500 0.500 0.500
Sb: 0.000 0.500 0.500
Sb: 0.500 0.000 0.500
Sb: 0.500 0.500 0.000


[11]
Compound: BaNbIO2
Source: Alexandria
Functional: PBE
Structure: optimized geometry

Density, g cm⁻³: 4.5
Polymorph energy (0 for the lowest one), meV/atom: 1546
Density of states at the Fermi level, states/eV/atom: 0.8990
ΔE_f (raw), meV per atom: 165

a = 4.541 Å, b = 4.541 Å, c = 6.952 Å
α = 90.00°, β = 90.00°, γ = 90.00°
Positions (direct):
Ba: 0.000 0.000 0.000
Nb: 0.500 0.500 0.500
I: 0.000 0.000 0.500
O: 0.000 0.500 0.000
O: 0.500 0.000 0.000


[12]
Compound: La2P3Ir4Pt
Source: Alexandria
Functional: PBE
Structure: optimized geometry

Density, g cm⁻³: 12.4
DFT formation energy, eV per atom: -0.821
Density of states at the Fermi level, states/eV/atom: 0.5190

a = 4.178 Å, b = 4.178 Å, c = 10.227 Å
α = 90.00°, β = 90.00°, γ = 90.00°
Positions (direct):
La: 0.000 0.500 0.244
La: 0.500 0.000 0.756
P: 0.000 0.000 0.000
P: 0.000 0.500 0.630
P: 0.500 0.000 0.370
Ir: 0.000 0.000 0.500
Ir: 0.000 0.500 0.852
Ir: 0.500 0.000 0.148
Ir: 0.500 0.500 0.500
Pt: 0.500 0.500 0.000